No. 1
DFT (GGA-PBE) results for Fe2CuSe after structural relaxation.

```
4
Lattice="1.419 0.819 7.757 -1.419 0.819 7.757 0.000 -1.638 7.757" Properties=species:S:1:pos:R:3 pbc="T T T"
Fe 0.000 0.000 5.777
Fe 0.000 0.000 17.494
Cu 0.000 0.000 0.000
Se 0.000 0.000 11.636
```

formation energy from raw total energies	0.364	eV/atom
E	-5.763	eV per atom
space group	R-3m, No. 166

No. 2
DFT (GGA-PBE) results for SmDy3Al after structural relaxation.

```
20
Lattice="6.114 -7.006 0.000 6.114 7.006 0.000 -1.368 0.000 7.004" Properties=species:S:1:pos:R:3 pbc="T T T"
Sm 3.591 4.408 5.869
Sm 6.586 4.408 4.638
Sm 4.274 -4.408 2.367
Sm 7.270 -4.408 1.135
Dy 0.597 0.832 4.273
Dy 1.281 -0.832 0.771
Dy 3.916 2.118 3.291
Dy 2.702 1.363 6.829
Dy 3.386 -1.363 3.327
Dy 7.628 2.118 0.211
Dy 3.232 -2.118 6.794
Dy 7.474 1.363 3.677
Dy 8.158 -1.363 0.175
Dy 6.945 -2.118 3.713
Dy 9.580 0.832 6.234
Dy 10.264 -0.832 2.731
Al 5.772 3.758 1.751
Al 5.088 0.127 5.253
Al 5.772 -0.127 1.751
Al 5.088 -3.758 5.253
```

DFT formation energy	3	kJ per mole of atoms
E	-4.425	eV per atom
space group	C2/c, No. 15

No. 3
DFT (GGA-PBE) results for CuBO2 after structural relaxation.

```
4
Lattice="1.583 0.914 5.058 -1.583 0.914 5.058 0.000 -1.828 5.058" Properties=species:S:1:pos:R:3 pbc="T T T"
Cu 0.000 0.000 0.000
B 0.000 0.000 7.587
O 0.000 0.000 6.313
O 0.000 0.000 8.860
```

formation energy from raw total energies	-1.138	eV/atom
E	-6.311	eV per atom
space group	R-3m, No. 166

No. 4
DFT (GGA-PBE) results for Tb8ErTm6 after structural relaxation.

```
15
Lattice="4.469 2.580 6.819 -4.469 2.580 6.819 0.000 -5.160 6.819" Properties=species:S:1:pos:R:3 pbc="T T T"
Tb 0.000 0.000 1.574
Tb -0.121 -1.948 7.339
Tb -1.627 1.079 7.339
Tb -1.748 -0.869 13.118
Tb 1.748 0.869 7.339
Tb 1.627 -1.079 13.118
Tb 0.121 1.948 13.118
Tb 0.000 0.000 18.883
Er 0.000 0.000 10.229
Tm -3.115 -1.111 9.419
Tm -0.595 -3.253 11.039
Tm -2.519 2.142 11.039
Tm 2.519 -2.142 9.419
Tm 0.595 3.253 9.419
Tm 3.115 1.111 11.039
```

DFT formation energy	13	kJ per mole of atoms
E	-4.430	eV per atom
space group	R-3, No. 148

No. 5
DFT (GGA-PBE) results for Cr3HgN after structural relaxation.

```
5
Lattice="3.922 0.000 0.000 0.000 3.922 0.000 0.000 0.000 3.922" Properties=species:S:1:pos:R:3 pbc="T T T"
Cr 0.000 0.000 1.961
Cr 0.000 1.961 0.000
Cr 1.961 0.000 0.000
Hg 1.961 1.961 1.961
N 0.000 0.000 0.000
```

formation energy from raw total energies	0.049	eV/atom
E	-7.450	eV per atom
space group	Pm-3m, No. 221

No. 6
DFT (GGA-PBE) results for Y2Pd2Pt after structural relaxation.

```
10
Lattice="7.823 0.000 0.000 0.000 7.823 0.000 0.000 0.000 3.548" Properties=species:S:1:pos:R:3 pbc="T T T"
Y 1.339 2.573 0.000
Y 2.573 6.484 0.000
Y 5.251 1.339 0.000
Y 6.484 5.251 0.000
Pd 0.991 4.903 1.774
Pd 2.921 0.991 1.774
Pd 4.903 6.832 1.774
Pd 6.832 2.921 1.774
Pt 0.000 0.000 0.000
Pt 3.912 3.912 0.000
```

DFT formation energy	-64	kJ per mole of atoms
E	-6.531	eV per atom
space group	P4/mbm, No. 127

No. 7
DFT (GGA-PBE) results for ZrCoMo2 after structural relaxation.

```
8
Lattice="-3.697 3.697 2.493 3.697 -3.697 2.493 3.697 3.697 -2.493" Properties=species:S:1:pos:R:3 pbc="T T T"
Zr 0.000 0.000 0.000
Zr 0.000 3.697 1.246
Co 3.697 0.000 1.246
Co 0.000 0.000 2.493
Mo 1.848 -1.513 1.870
Mo 2.184 1.848 0.623
Mo 1.848 5.209 -0.623
Mo 1.513 1.848 3.116
```

DFT formation energy	40	kJ per mole of atoms
E	-8.910	eV per atom
space group	I-42d, No. 122

No. 8
DFT (GGA-PBE) results for YSnSb2 after structural relaxation.

```
4
Lattice="5.148 0.000 0.000 0.000 5.148 0.000 0.000 0.000 4.086" Properties=species:S:1:pos:R:3 pbc="T T T"
Y 0.000 0.000 0.000
Sn 2.574 2.574 0.000
Sb 0.000 2.574 2.043
Sb 2.574 0.000 2.043
```

formation energy from raw total energies	-0.431	eV/atom
E	-5.109	eV per atom
space group	P4/mmm, No. 123

No. 9
DFT (GGA-PBE) results for YMn2Cu after structural relaxation.

```
4
Lattice="-2.016 2.016 4.199 2.016 -2.016 4.199 2.016 2.016 -4.199" Properties=species:S:1:pos:R:3 pbc="T T T"
Y 0.000 0.000 0.000
Mn 2.016 0.000 2.099
Mn 0.000 2.016 2.099
Cu 0.000 0.000 4.199
```

DFT formation energy	28	kJ per mole of atoms
E	-6.932	eV per atom
space group	I4/mmm, No. 139

No. 10
DFT (GGA-PBE) results for K2ScO after structural relaxation.

```
8
Lattice="-6.267 6.267 1.992 6.267 -6.267 1.992 6.267 6.267 -1.992" Properties=species:S:1:pos:R:3 pbc="T T T"
K -1.055 3.134 0.498
K 3.134 5.212 1.494
K 1.055 9.401 0.498
K -3.134 7.322 1.494
Sc 6.267 0.000 0.996
Sc 0.000 0.000 1.992
O 0.000 0.000 0.000
O 0.000 6.267 0.996
```

formation energy from raw total energies	-0.942	eV/atom
E	-4.313	eV per atom
space group	I-42d, No. 122

No. 11
DFT (GGA-PBE) results for ScCrReTc after structural relaxation.

```
4
Lattice="0.000 3.101 3.101 3.101 0.000 3.101 3.101 3.101 0.000" Properties=species:S:1:pos:R:3 pbc="T T T"
Sc 0.000 0.000 0.000
Cr 1.551 1.551 1.551
Re 3.101 3.101 3.101
Tc 4.652 4.652 4.652
```

DFT formation energy	-5	kJ per mole of atoms
E	-9.749	eV per atom
space group	F-43m, No. 216

No. 12
DFT (GGA-PBE) results for AlRu3 after structural relaxation.

```
4
Lattice="4.380 0.000 0.000 0.000 4.380 0.000 0.000 0.000 2.930" Properties=species:S:1:pos:R:3 pbc="T T T"
Al 0.000 0.000 0.000
Ru 0.000 2.190 1.465
Ru 2.190 0.000 1.465
Ru 2.190 2.190 0.000
```

DFT formation energy	-7	kJ per mole of atoms
E	-7.961	eV per atom
space group	P4/mmm, No. 123